{"formula": "Mg6FeW", "functional": "GGA-PBE", "state": "optimized geometry", "total_energy_ev_per_atom": -3.5645, "de_polymorph_mev_per_atom": 0, "lattice": [[2.9363, -5.4269, 0.0000], [2.9363, 5.4269, 0.0000], [0.0000, 0.0000, 4.6855]], "species": ["Mg", "Mg", "Mg", "Mg", "Mg", "Mg", "W", "Fe"], "frac_coords": [[0.6573, 0.8192, 0.0000], [0.3193, 0.1661, 0.5000], [0.8299, 0.1701, 0.5000], [0.1808, 0.3427, 0.0000], [0.8339, 0.6807, 0.5000], [0.6733, 0.3267, 0.0000], [0.3089, 0.6911, 0.5000], [0.1966, 0.8034, 0.0000]]}